1.
A relaxed structure of U4Mo, computed with GGA-PBE.

Values from the calculation:
Mass density (g cm⁻³): 12.64
Energy relative to the elements (eV/atom): 1.200

Cell lengths 5.1635, 5.1635, 5.1635 Å; angles 90.00, 90.00, 90.00 degrees
Last column: nearest neighbours and their distance in Å.
Positions (direct):
U (0.0000, 0.0000, 0.0000)  12 U 3.65
U (0.0000, 0.5000, 0.5000)  2 Mo 2.58
U (0.5000, 0.0000, 0.5000)  2 Mo 2.58
U (0.5000, 0.5000, 0.0000)  2 Mo 2.58
Mo (0.5000, 0.5000, 0.5000)  6 U 2.58



2.
A relaxed structure of U3Mo, computed with GGA-PBE.

Values from the calculation:
Mass density (g cm⁻³): 17.23
Energy relative to the elements (eV/atom): 0.220
ΔE to the lowest computed polymorph (eV per atom): 0.023

Cell lengths 3.8474, 3.8474, 5.2730 Å; angles 90.00, 90.00, 90.00 degrees
Last column: nearest neighbours and their distance in Å.
Positions (direct):
U (0.0000, 0.0000, 0.0000)  4 Mo 2.72
U (0.0000, 0.5000, 0.5000)  4 U 2.72
U (0.5000, 0.0000, 0.5000)  4 U 2.72
Mo (0.5000, 0.5000, 0.0000)  4 U 2.72



3.
A relaxed structure of UMo3, computed with GGA-PBE.

Values from the calculation:
Mass density (g cm⁻³): 12.50
Energy relative to the elements (eV/atom): 0.305
ΔE to the lowest computed polymorph (eV per atom): 0.108

Cell lengths 5.5498, 5.5498, 5.5498 Å; angles 147.41, 60.93, 130.05 degrees
Last column: nearest neighbours and their distance in Å.
Positions (direct):
U (0.0000, 0.0000, 0.0000)  4 Mo 2.56-2.73
Mo (0.4745, 0.6978, 0.7768)  1 U 2.56, 6 Mo 2.83-2.86
Mo (0.4794, 0.9794, 0.5000)  4 U 2.73-2.89, 6 Mo 2.83-2.96
Mo (0.9210, 0.6978, 0.2232)  1 U 2.56, 6 Mo 2.83-2.86



4.
A relaxed structure of UMo, computed with GGA-PBE.

Values from the calculation:
Mass density (g cm⁻³): 15.12
Energy relative to the elements (eV/atom): 0.171
ΔE to the lowest computed polymorph (eV per atom): 0.048

Cell lengths 3.6544, 3.6544, 5.4942 Å; angles 90.00, 90.00, 90.00 degrees
Last column: nearest neighbours and their distance in Å.
Positions (direct):
U (0.2500, 0.2500, 0.1029)  2 Mo 2.66-2.84, 4 U 2.82
U (0.7500, 0.7500, 0.8971)  2 Mo 2.66-2.84, 4 U 2.82
Mo (0.2500, 0.2500, 0.5864)  2 U 2.66-2.84, 4 Mo 2.75
Mo (0.7500, 0.7500, 0.4136)  2 U 2.66-2.84, 4 Mo 2.75



In μB per formula unit, the M_tot values for the records above are, in order, 10.14, 0.00, 0.00, 0.00.